! RbScGe GGA-PBE optimized geometry; values from VASP
! DFT formation energy	-210	meV/atom
! energy relative to the lowest polymorph listed for this composition	150	meV per atom
&SYSTEM
  ibrav = 0, nat = 6, ntyp = 3
/
ATOMIC_SPECIES
Rb 85.47 Rb.upf
Sc 44.96 Sc.upf
Ge 72.64 Ge.upf
ATOMIC_POSITIONS crystal
Rb 0.000 0.000 0.000
Rb 0.406 0.389 0.369
Sc 0.362 0.356 0.741
Sc 0.712 0.702 0.599
Ge 0.045 0.036 0.601
Ge 0.687 0.683 0.818
CELL_PARAMETERS angstrom
4.664 0.000 0.000
2.326 4.044 0.000
0.740 0.363 12.193